Here is a geometry-optimized Ti6PtAu structure from the Alexandria database. Energies are from PBE-GGA.

Results
space-group type: Pm-3 (200)

Cell and atoms, written as POSCAR:
```
Ti6PtAu
1.0
5.073 0.000 0.000
0.000 5.073 0.000
0.000 0.000 5.073
Ti Pt Au
6 1 1
Cartesian
0.000 1.286 2.536
0.000 3.787 2.536
1.286 2.536 0.000
2.536 0.000 1.286
2.536 0.000 3.787
3.787 2.536 0.000
2.536 2.536 2.536
0.000 0.000 0.000
```

Here is a geometry-optimized AlRuN2F structure from the Alexandria database. Energies are from PBE-GGA.

Results
ΔE_f (raw): 0.10 eV/atom
space-group type: P4/mmm (123)

Cell and atoms, written as POSCAR:
```
AlRuN2F
1.0
3.860 0.000 0.000
0.000 3.860 0.000
0.000 0.000 3.448
Al Ru N F
1 1 2 1
Cartesian
0.000 0.000 0.000
1.930 1.930 1.724
0.000 1.930 0.000
1.930 0.000 0.000
0.000 0.000 1.724
```

Here is a geometry-optimized TaBeTc structure from the Alexandria database. Energies are from PBE-GGA.

Results
space-group type: P-62m (189)

Cell and atoms, written as POSCAR:
```
TaBeTc
1.0
6.614 0.000 0.000
-3.307 5.728 0.000
0.000 0.000 3.212
Ta Be Tc
3 3 3
Cartesian
-1.306 2.262 0.000
2.612 0.000 0.000
2.001 3.466 0.000
0.000 0.000 0.000
0.000 3.819 1.606
3.307 1.909 1.606
-2.442 4.230 1.606
0.865 1.498 1.606
4.884 0.000 1.606
```

Here is a geometry-optimized LaHoPa structure from the Alexandria database. Energies are from PBE-GGA.

Results
space-group type: P3m1 (156)

Cell and atoms, written as POSCAR:
```
LaHoPa
1.0
3.447 0.000 0.000
-1.724 2.986 0.000
0.000 0.000 8.713
La Ho Pa
1 1 1
Cartesian
0.000 0.000 0.000
0.000 1.990 5.502
1.724 0.995 2.794
```

Here is a geometry-optimized TaCr2Os structure from the Alexandria database. Energies are from PBE-GGA.

Results
space-group type: F-43m (216)

Cell and atoms, written as POSCAR:
```
TaCr2Os
1.0
0.000 3.061 3.061
3.061 0.000 3.061
3.061 3.061 0.000
Ta Cr Os
1 2 1
Cartesian
0.000 0.000 0.000
1.531 1.531 1.531
3.061 3.061 3.061
4.592 4.592 4.592
```

Here is a geometry-optimized PmYCuIr structure from the Alexandria database. Energies are from PBE-GGA.

Results
space-group type: Amm2 (38)

Cell and atoms, written as POSCAR:
```
PmYCuIr
1.0
4.367 0.000 0.000
0.000 1.953 5.268
0.000 -1.953 5.268
Pm Y Cu Ir
1 1 1 1
Cartesian
0.000 0.000 0.000
2.183 0.000 7.599
2.183 0.000 4.533
0.000 0.000 2.964
```

Here is a geometry-optimized CaZrCu structure from the Alexandria database. Energies are from PBE-GGA.

Results
space-group type: P3m1 (156)

Cell and atoms, written as POSCAR:
```
CaZrCu
1.0
3.454 0.000 0.000
-1.727 2.991 0.000
0.000 0.000 7.020
Ca Zr Cu
1 1 1
Cartesian
0.000 0.000 0.000
0.000 1.994 4.051
1.727 0.997 2.231
```

Here is a geometry-optimized SrAcHo2 structure from the Alexandria database. Energies are from PBE-GGA.

Results
space-group type: P4/mmm (123)

Cell and atoms, written as POSCAR:
```
SrAcHo2
1.0
5.379 0.000 0.000
0.000 5.379 0.000
0.000 0.000 5.300
Sr Ac Ho
1 1 2
Cartesian
0.000 0.000 0.000
2.689 2.689 0.000
0.000 2.689 2.650
2.689 0.000 2.650
```

| no. | energy (hartree per atom) |
| --- | --- |
| 1 | -0.2787 |
| 2 | -0.2282 |
| 3 | -0.3302 |
| 4 | -0.2275 |
| 5 | -0.3898 |
| 6 | -0.2414 |
| 7 | -0.1683 |
| 8 | -0.1299 |